No. 1
This record from the Alexandria database describes a relaxed structure of Li3Ca4In. The functional is PBE.

POSCAR file:
```
Li3Ca4In
1.0
11.059 0.000 0.000
0.000 7.857 0.000
0.000 0.000 5.528
Li Ca In
6 8 2
Direct
0.000 0.000 0.000 Li
0.250 0.000 0.499 Li
0.250 0.500 0.498 Li
0.500 0.000 0.000 Li
0.750 0.000 0.501 Li
0.750 0.500 0.502 Li
0.000 0.258 0.500 Ca
0.000 0.742 0.500 Ca
0.250 0.258 0.999 Ca
0.250 0.742 0.999 Ca
0.500 0.258 0.500 Ca
0.500 0.742 0.500 Ca
0.750 0.258 0.001 Ca
0.750 0.742 0.001 Ca
0.000 0.500 0.000 In
0.500 0.500 0.000 In
```

Summary:
M_tot = 0.000 μB/atom
Symmetry = No. 51
Volume = 480.3 Å³/cell
Electronic total energy = -2.197 eV/atom
ΔH_f (0 K) = -0.136 eV per atom

No. 2
This record from the Alexandria database describes a relaxed structure of LiCaIn4. The functional is PBE.

POSCAR file:
```
LiCaIn4
1.0
0.000 4.316 4.316
4.316 0.000 4.316
4.316 4.316 0.000
Li Ca In
1 1 4
Direct
0.000 0.000 0.000 Li
0.750 0.750 0.750 Ca
0.375 0.375 0.375 In
0.375 0.375 0.875 In
0.375 0.875 0.375 In
0.875 0.375 0.375 In
```

Summary:
M_tot = 0.000 μB/atom
Symmetry = No. 216
Volume = 160.8 Å³/cell
Electronic total energy = -2.658 eV/atom
ΔH_f (0 K) = -0.179 eV per atom

No. 3
This record from the Alexandria database describes a relaxed structure of Li2CaIn2. The functional is PBE.

POSCAR file:
```
Li2CaIn2
1.0
8.211 0.000 0.000
0.000 8.211 0.000
0.000 0.000 3.368
Li Ca In
4 2 4
Direct
0.120 0.380 0.000 Li
0.380 0.880 0.000 Li
0.620 0.120 0.000 Li
0.880 0.620 0.000 Li
0.000 0.000 0.000 Ca
0.500 0.500 0.000 Ca
0.174 0.674 0.500 In
0.326 0.174 0.500 In
0.674 0.826 0.500 In
0.826 0.326 0.500 In
```

Summary:
M_tot = 0.000 μB/atom
Symmetry = No. 127
Distance to the lowest polymorph of the same formula = 0 meV/atom
Volume = 227.1 Å³/cell
Electronic total energy = -2.557 eV/atom
ΔH_f (0 K) = -0.295 eV per atom

No. 4
This record from the Alexandria database describes a relaxed structure of LiCaIn. The functional is PBE.

POSCAR file:
```
LiCaIn
1.0
-2.901 3.145 4.175
2.901 -3.145 4.175
2.901 3.145 -4.175
Li Ca In
2 2 2
Direct
0.500 0.000 0.000 Li
0.500 0.500 0.500 Li
0.122 0.372 0.750 Ca
0.878 0.628 0.250 Ca
0.000 0.000 0.000 In
0.500 0.000 0.500 In
```

Summary:
M_tot = 0.000 μB/atom
Symmetry = No. 74
Volume = 152.4 Å³/cell
Electronic total energy = -2.565 eV/atom
ΔH_f (0 K) = -0.347 eV per atom

No. 5
This record from the Alexandria database describes a relaxed structure of Li15Ca2In2. The functional is PBE.

POSCAR file:
```
Li15Ca2In2
1.0
4.982 2.876 4.785
-4.982 2.876 4.785
0.000 -5.753 4.785
Li Ca In
15 2 2
Direct
0.000 0.000 0.500 Li
0.000 0.272 0.728 Li
0.000 0.500 0.000 Li
0.000 0.728 0.272 Li
0.130 0.646 0.646 Li
0.272 0.000 0.728 Li
0.272 0.728 0.000 Li
0.354 0.354 0.870 Li
0.354 0.870 0.354 Li
0.500 0.000 0.000 Li
0.646 0.130 0.646 Li
0.646 0.646 0.130 Li
0.728 0.000 0.272 Li
0.728 0.272 0.000 Li
0.870 0.354 0.354 Li
0.346 0.346 0.346 Ca
0.654 0.654 0.654 Ca
0.110 0.110 0.110 In
0.890 0.890 0.890 In
```

Summary:
M_tot = 0.000 μB/atom
Symmetry = No. 166
Volume = 411.4 Å³/cell
Electronic total energy = -2.089 eV/atom
ΔH_f (0 K) = -0.079 eV per atom

No. 6
This record from the Alexandria database describes a relaxed structure of Li6CaIn. The functional is PBE.

POSCAR file:
```
Li6CaIn
1.0
5.574 0.000 0.000
0.000 5.574 0.000
0.000 0.000 5.574
Li Ca In
6 1 1
Direct
0.000 0.273 0.500 Li
0.000 0.727 0.500 Li
0.273 0.500 0.000 Li
0.500 0.000 0.273 Li
0.500 0.000 0.727 Li
0.727 0.500 0.000 Li
0.000 0.000 0.000 Ca
0.500 0.500 0.500 In
```

Summary:
M_tot = 0.000 μB/atom
Symmetry = No. 200
Volume = 173.2 Å³/cell
Electronic total energy = -2.064 eV/atom
ΔH_f (0 K) = -0.036 eV per atom

No. 7
This record from the Alexandria database describes a relaxed structure of LiCaIn4. The functional is PBE.

POSCAR file:
```
LiCaIn4
1.0
-2.408 3.739 4.364
2.408 -3.739 4.364
2.408 3.739 -4.364
Li Ca In
1 1 4
Direct
0.000 0.000 0.000 Li
0.500 0.000 0.500 Ca
0.041 0.336 0.705 In
0.370 0.664 0.705 In
0.630 0.336 0.295 In
0.959 0.664 0.295 In
```

Summary:
M_tot = 0.000 μB/atom
Symmetry = No. 71
Volume = 157.2 Å³/cell
Electronic total energy = -2.759 eV/atom
ΔH_f (0 K) = -0.281 eV per atom

No. 8
This record from the Alexandria database describes a relaxed structure of LiCa3In12. The functional is PBE.

POSCAR file:
```
LiCa3In12
1.0
4.719 0.000 0.000
0.000 4.719 0.000
0.000 0.000 18.479
Li Ca In
1 3 12
Direct
0.000 0.000 0.000 Li
0.000 0.000 0.244 Ca
0.000 0.000 0.500 Ca
0.000 0.000 0.756 Ca
0.000 0.500 0.116 In
0.000 0.500 0.372 In
0.000 0.500 0.628 In
0.000 0.500 0.884 In
0.500 0.000 0.116 In
0.500 0.000 0.372 In
0.500 0.000 0.628 In
0.500 0.000 0.884 In
0.500 0.500 0.000 In
0.500 0.500 0.248 In
0.500 0.500 0.500 In
0.500 0.500 0.752 In
```

Summary:
M_tot = 0.000 μB/atom
Symmetry = No. 123
Volume = 411.5 Å³/cell
Electronic total energy = -2.819 eV/atom
ΔH_f (0 K) = -0.271 eV per atom

No. 9
This record from the Alexandria database describes a relaxed structure of Li4Ca3In4. The functional is PBE.

POSCAR file:
```
Li4Ca3In4
1.0
-4.096 4.096 4.096
4.096 -4.096 4.096
4.096 4.096 -4.096
Li Ca In
4 3 4
Direct
0.000 0.000 0.770 Li
0.000 0.770 0.000 Li
0.230 0.230 0.230 Li
0.770 0.000 0.000 Li
0.000 0.500 0.500 Ca
0.500 0.000 0.500 Ca
0.500 0.500 0.000 Ca
0.000 0.000 0.411 In
0.000 0.411 0.000 In
0.411 0.000 0.000 In
0.589 0.589 0.589 In
```

Summary:
M_tot = 0.000 μB/atom
Symmetry = No. 217
Distance to the lowest polymorph of the same formula = 75 meV/atom
Volume = 274.8 Å³/cell
Electronic total energy = -2.468 eV/atom
ΔH_f (0 K) = -0.231 eV per atom

No. 10
This record from the Alexandria database describes a relaxed structure of LiCa4In. The functional is PBE.

POSCAR file:
```
LiCa4In
1.0
3.874 -3.874 0.000
3.874 3.874 0.000
-0.015 0.000 7.679
Li Ca In
1 4 1
Direct
0.000 0.000 0.000 Li
0.000 0.500 0.263 Ca
0.001 0.500 0.737 Ca
0.500 0.000 0.263 Ca
0.500 0.001 0.737 Ca
0.500 0.500 0.499 In
```

Summary:
M_tot = 0.000 μB/atom
Symmetry = No. 8
Distance to the lowest polymorph of the same formula = 0 meV/atom
Volume = 230.4 Å³/cell
Electronic total energy = -2.118 eV/atom
ΔH_f (0 K) = -0.008 eV per atom

No. 11
This record from the Alexandria database describes a relaxed structure of Li2Ca3In9. The functional is PBE.

POSCAR file:
```
Li2Ca3In9
1.0
-2.398 5.379 6.924
2.398 -5.379 6.924
2.398 5.379 -6.924
Li Ca In
2 3 9
Direct
0.172 0.000 0.172 Li
0.828 0.000 0.828 Li
0.205 0.205 0.000 Ca
0.500 0.500 0.000 Ca
0.795 0.795 0.000 Ca
0.000 0.500 0.500 In
0.070 0.358 0.712 In
0.220 0.854 0.366 In
0.354 0.642 0.712 In
0.488 0.854 0.634 In
0.512 0.146 0.366 In
0.646 0.358 0.288 In
0.780 0.146 0.634 In
0.930 0.642 0.288 In
```

Summary:
M_tot = 0.000 μB/atom
Symmetry = No. 71
Volume = 357.2 Å³/cell
Electronic total energy = -2.808 eV/atom
ΔH_f (0 K) = -0.345 eV per atom

No. 12
This record from the Alexandria database describes a relaxed structure of Li4Ca3In4. The functional is PBE.

POSCAR file:
```
Li4Ca3In4
1.0
3.492 0.000 0.000
0.010 5.020 0.000
1.729 2.505 15.719
Li Ca In
4 3 4
Direct
0.093 0.093 0.314 Li
0.240 0.738 0.023 Li
0.760 0.262 0.977 Li
0.907 0.907 0.686 Li
0.359 0.358 0.783 Ca
0.500 0.000 0.500 Ca
0.641 0.642 0.217 Ca
0.049 0.549 0.403 In
0.183 0.185 0.130 In
0.817 0.815 0.870 In
0.951 0.451 0.597 In
```

Summary:
M_tot = 0.000 μB/atom
Symmetry = No. 2
Distance to the lowest polymorph of the same formula = 0 meV/atom
Volume = 275.6 Å³/cell
Electronic total energy = -2.543 eV/atom
ΔH_f (0 K) = -0.305 eV per atom